a) Compound: LiCa4Pd
Source: the Alexandria database
Functional: PBE-GGA
Structure: optimized geometry

Output
DOS(E_F) ... 0.811 states/eV per atom
Calculated volume ... 201.1 Å³/f.u.

Unit cell a=7.302 b=7.302 c=7.544 alpha=90.00 beta=90.06 gamma=90.00
Space group C2/m (No. 12)
Inequivalent atoms, fractional coordinates:
Li 0.000 0.000 0.000 x2
Ca 0.250 0.250 0.270 x8
Pd 0.000 0.500 0.500 x2

***

b) Compound: LiCa4Pd
Source: the Alexandria database
Functional: PBE-GGA
Structure: optimized geometry

Output
DOS(E_F) ... 0.698 states/eV per atom
Calculated volume ... 191.4 Å³/f.u.

Unit cell a=9.366 b=13.796 c=6.285 alpha=90.00 beta=109.45 gamma=90.00
Space group C2/c (No. 15)
Inequivalent atoms, fractional coordinates:
Li 0.000 0.123 0.250 x4
Ca 0.106 0.328 0.556 x8
Ca 0.217 0.079 0.866 x8
Pd 0.000 0.500 0.250 x4

***

Most stable of them? b).